An optimized crystal structure of SrPb5Br12, computed with PBE.

a = 7.7920 Å, b = 13.5767 Å, c = 13.8950 Å
α = 90.00°, β = 90.05°, γ = 90.00°
Space group C2/m (No. 12)
Symmetry-distinct sites (fractional):
1 Sr 0.0000 0.0000 0.0000
2 Pb 0.0000 0.1667 0.5000
3 Pb 0.0000 0.3333 0.0000
4 Pb 0.0000 0.5000 0.5000
5 Br 0.1655 0.0000 0.3814
6 Br 0.1663 0.1668 0.1176
7 Br 0.1658 0.3333 0.3815
8 Br 0.1657 0.5000 0.1175

Output
Volume (Å³/atom): 40.8
ΔE_f (raw) (eV/atom): -1.114
Total energy (eV for the cell shown): -120.717
Size of the total moment (μB/f.u.): 0.00

***

An optimized crystal structure of SrPbBr2, computed with PBE.

a = 4.2605 Å, b = 4.2605 Å, c = 7.5771 Å
α = 90.00°, β = 90.00°, γ = 90.00°
Space group P4mm (No. 99)
Symmetry-distinct sites (fractional):
1 Sr 0.0000 0.0000 0.0000
2 Pb 0.5000 0.5000 0.6714
3 Br 0.0000 0.0000 0.3939
4 Br 0.5000 0.5000 0.0892

Output
Volume (Å³/atom): 34.4
ΔE_f (raw) (eV/atom): -1.009
Total energy (eV for the cell shown): -12.771
E above lowest polymorph (eV/atom): 0.180
Size of the total moment (μB/f.u.): 0.00

***

An optimized crystal structure of SrPbBr2, computed with PBE.

a = 4.8564 Å, b = 4.0607 Å, c = 6.5400 Å
α = 90.00°, β = 90.73°, γ = 90.00°
Space group P2/m (No. 10)
Symmetry-distinct sites (fractional):
1 Sr 0.0000 0.0000 0.0000
2 Pb 0.0000 0.5000 0.5000
3 Br 0.5000 0.0000 0.5000
4 Br 0.5000 0.5000 0.0000

Output
Volume (Å³/atom): 32.2
ΔE_f (raw) (eV/atom): -1.068
Total energy (eV for the cell shown): -13.007
E above lowest polymorph (eV/atom): 0.121
Size of the total moment (μB/f.u.): 0.00

***

An optimized crystal structure of SrPbBr, computed with PBE.

a = 7.6588 Å, b = 7.6588 Å, c = 7.6588 Å
α = 90.00°, β = 90.00°, γ = 90.00°
Space group F-43m (No. 216)
Symmetry-distinct sites (fractional):
1 Sr 0.0000 0.0000 0.0000
2 Pb 0.0000 0.0000 0.5000
3 Br 0.2500 0.2500 0.2500

Output
Volume (Å³/atom): 37.4
ΔE_f (raw) (eV/atom): -0.464
Total energy (eV for the cell shown): -33.821
E above lowest polymorph (eV/atom): 0.731
Size of the total moment (μB/f.u.): 0.00

***

An optimized crystal structure of SrPbBr2, computed with PBE.

a = 4.4887 Å, b = 6.0599 Å, c = 5.6854 Å
α = 90.00°, β = 113.13°, γ = 90.00°
Space group Pm (No. 6)
Symmetry-distinct sites (fractional):
1 Sr 0.0000 0.0000 0.0000
2 Pb 0.5910 0.5000 0.1837
3 Br 0.2949 0.0000 0.5888
4 Br 0.8942 0.5000 0.7885

Output
Volume (Å³/atom): 35.6
ΔE_f (raw) (eV/atom): -1.052
Total energy (eV for the cell shown): -12.945
E above lowest polymorph (eV/atom): 0.136
Size of the total moment (μB/f.u.): 0.00

***

An optimized crystal structure of Sr2PbBr6, computed with PBE.

a = 18.8802 Å, b = 4.5826 Å, c = 8.5500 Å
α = 90.00°, β = 97.29°, γ = 90.00°
Space group C2/m (No. 12)
Symmetry-distinct sites (fractional):
1 Sr 0.1663 0.0000 0.3308
2 Pb 0.0000 0.5000 0.0000
3 Br 0.0024 0.0000 0.2428
4 Br 0.1628 0.5000 0.0883
5 Br 0.1705 0.5000 0.5724

Output
Volume (Å³/atom): 40.8
ΔE_f (raw) (eV/atom): -1.715
Total energy (eV for the cell shown): -65.087
E above lowest polymorph (eV/atom): 0.000
Size of the total moment (μB/f.u.): 0.00

***

An optimized crystal structure of Sr2PbBr, computed with PBE.

a = 8.5258 Å, b = 8.5258 Å, c = 8.9272 Å
α = 90.00°, β = 90.00°, γ = 90.00°
Space group I-42d (No. 122)
Symmetry-distinct sites (fractional):
1 Sr 0.2304 0.2500 0.1250
2 Pb 0.0000 0.0000 0.5000
3 Br 0.0000 0.0000 0.0000

Output
Volume (Å³/atom): 40.6
ΔE_f (raw) (eV/atom): -0.844
Total energy (eV for the cell shown): -48.487
E above lowest polymorph (eV/atom): 0.229
Size of the total moment (μB/f.u.): 1.00

***

An optimized crystal structure of SrPbBr2, computed with PBE.

a = 7.9363 Å, b = 7.9363 Å, c = 7.9363 Å
α = 90.00°, β = 90.00°, γ = 90.00°
Space group Fm-3m (No. 225)
Symmetry-distinct sites (fractional):
1 Sr 0.0000 0.0000 0.0000
2 Pb 0.0000 0.0000 0.5000
3 Br 0.2500 0.2500 0.2500

Output
Volume (Å³/atom): 31.2
ΔE_f (raw) (eV/atom): -0.901
Total energy (eV for the cell shown): -49.367
E above lowest polymorph (eV/atom): 0.287
Size of the total moment (μB/f.u.): 0.00

***

An optimized crystal structure of SrPbBr2, computed with PBE.

a = 4.2717 Å, b = 4.9841 Å, c = 6.4195 Å
α = 90.00°, β = 92.23°, γ = 90.00°
Space group P2/m (No. 10)
Symmetry-distinct sites (fractional):
1 Sr 0.0000 0.0000 0.0000
2 Pb 0.5000 0.0000 0.5000
3 Br 0.2455 0.5000 0.7539

Output
Volume (Å³/atom): 34.1
ΔE_f (raw) (eV/atom): -1.023
Total energy (eV for the cell shown): -12.829
E above lowest polymorph (eV/atom): 0.165
Size of the total moment (μB/f.u.): 0.00

***

An optimized crystal structure of SrPbBr3, computed with PBE.

a = 5.8994 Å, b = 5.8994 Å, c = 5.8994 Å
α = 90.00°, β = 90.00°, γ = 90.00°
Space group Pm-3m (No. 221)
Symmetry-distinct sites (fractional):
1 Sr 0.0000 0.0000 0.0000
2 Pb 0.5000 0.5000 0.5000
3 Br 0.0000 0.0000 0.5000

Output
Volume (Å³/atom): 41.1
ΔE_f (raw) (eV/atom): -1.103
Total energy (eV for the cell shown): -15.923
E above lowest polymorph (eV/atom): 0.000
Size of the total moment (μB/f.u.): 1.00

***

An optimized crystal structure of SrPbBr, computed with PBE.

a = 3.7508 Å, b = 3.7508 Å, c = 16.5184 Å
α = 90.00°, β = 90.00°, γ = 90.00°
Space group I4mm (No. 107)
Symmetry-distinct sites (fractional):
1 Sr 0.0000 0.0000 0.0000
2 Pb 0.0000 0.0000 0.3352
3 Br 0.0000 0.0000 0.5989

Output
Volume (Å³/atom): 38.7
ΔE_f (raw) (eV/atom): -0.876
Total energy (eV for the cell shown): -19.382
E above lowest polymorph (eV/atom): 0.320
Size of the total moment (μB/f.u.): 0.00

***

An optimized crystal structure of SrTePbBr2, computed with PBE.

a = 4.4402 Å, b = 13.5746 Å, c = 11.7955 Å
α = 90.00°, β = 90.00°, γ = 90.00°
Space group Cmcm (No. 63)
Symmetry-distinct sites (fractional):
1 Sr 0.0000 0.2413 0.2500
2 Te 0.0000 0.0826 0.7500
3 Pb 0.0000 0.0000 0.0000
4 Br 0.0000 0.3479 0.5748

Output
Volume (Å³/atom): 35.5
ΔE_f (raw) (eV/atom): -1.207
Total energy (eV for the cell shown): -71.656
Size of the total moment (μB/f.u.): 0.00

***

An optimized crystal structure of SrTlPbBr2, computed with PBE.

a = 5.9362 Å, b = 5.9362 Å, c = 5.9191 Å
α = 90.00°, β = 90.00°, γ = 90.00°
Space group P4/mmm (No. 123)
Symmetry-distinct sites (fractional):
1 Sr 0.0000 0.0000 0.0000
2 Tl 0.5000 0.5000 0.5000
3 Pb 0.5000 0.5000 0.0000
4 Br 0.0000 0.5000 0.5000

Output
Volume (Å³/atom): 41.7
ΔE_f (raw) (eV/atom): -0.417
Total energy (eV for the cell shown): -13.185
Size of the total moment (μB/f.u.): 1.45

***

An optimized crystal structure of Sr2YPbBr, computed with PBE.

a = 6.9239 Å, b = 6.9239 Å, c = 5.6122 Å
α = 90.00°, β = 90.00°, γ = 90.00°
Space group P4/mmm (No. 123)
Symmetry-distinct sites (fractional):
1 Sr 0.0000 0.5000 0.0000
2 Y 0.0000 0.0000 0.0000
3 Pb 0.0000 0.0000 0.5000
4 Br 0.5000 0.5000 0.5000

Output
Volume (Å³/atom): 53.8
ΔE_f (raw) (eV/atom): 0.145
Total energy (eV for the cell shown): -14.482
Size of the total moment (μB/f.u.): 0.89